A plane-wave DFT calculation with PBE was carried out for a relaxed structure of LaNdGdDy.

Lattice parameters (Å, degrees): 5.7917 5.7917 5.7917 60.00 60.00 60.00
Closest atoms and distances in Å follow each position.
Sites, in units of the cell vectors:
Nd  0.7500  0.7500  0.7500  4 Gd 3.55, 4 Dy 3.55
Gd  0.0000  0.0000  0.0000  4 La 3.55, 4 Nd 3.55
Dy  0.5000  0.5000  0.5000  4 Nd 3.55, 4 La 3.55
La  0.2500  0.2500  0.2500  4 Gd 3.55, 4 Dy 3.55

## Properties
ΔH_f (0 K) ... 0.102 eV per atom
Size of the total moment ... 7.96 Bohr magnetons per cell
Energy ... -6.99 eV/atom

=====

A plane-wave DFT calculation with PBE was carried out for a relaxed structure of LaGdDySc.

Lattice parameters (Å, degrees): 5.6240 5.6240 5.6240 60.00 60.00 60.00
Closest atoms and distances in Å follow each position.
Sites, in units of the cell vectors:
Dy  0.5000  0.5000  0.5000  4 La 3.44, 4 Gd 3.44
La  0.7500  0.7500  0.7500  4 Sc 3.44, 4 Dy 3.44
Sc  0.0000  0.0000  0.0000  4 Gd 3.44, 4 La 3.44
Gd  0.2500  0.2500  0.2500  4 Dy 3.44, 4 Sc 3.44

## Properties
ΔH_f (0 K) ... 0.096 eV per atom
Size of the total moment ... 7.50 Bohr magnetons per cell
Energy ... -7.39 eV/atom

=====

A plane-wave DFT calculation with PBE was carried out for a relaxed structure of LaGdDyTl.

Lattice parameters (Å, degrees): 5.5802 5.5802 5.5802 60.00 60.00 60.00
Closest atoms and distances in Å follow each position.
Sites, in units of the cell vectors:
Gd  0.7500  0.7500  0.7500  4 Dy 3.42, 4 Tl 3.42
Dy  0.5000  0.5000  0.5000  4 Gd 3.42, 4 La 3.42
Tl  0.0000  0.0000  0.0000  4 Gd 3.42, 4 La 3.42
La  0.2500  0.2500  0.2500  4 Tl 3.42, 4 Dy 3.42

## Properties
ΔH_f (0 K) ... -0.092 eV per atom
Size of the total moment ... 8.49 Bohr magnetons per cell
Energy ... -6.59 eV/atom

=====

A plane-wave DFT calculation with PBE was carried out for a relaxed structure of LaGdDyZn.

Lattice parameters (Å, degrees): 5.4495 5.4495 5.4495 60.00 60.00 60.00
Closest atoms and distances in Å follow each position.
Sites, in units of the cell vectors:
Gd  0.7500  0.7500  0.7500  4 Dy 3.34, 4 Zn 3.34
Zn  0.0000  0.0000  0.0000  4 Gd 3.34, 4 La 3.34
Dy  0.5000  0.5000  0.5000  4 La 3.34, 4 Gd 3.34
La  0.2500  0.2500  0.2500  4 Zn 3.34, 4 Dy 3.34

## Properties
ΔH_f (0 K) ... 0.023 eV per atom
Size of the total moment ... 7.83 Bohr magnetons per cell
Energy ... -6.20 eV/atom

=====

A plane-wave DFT calculation with PBE was carried out for a relaxed structure of LiGdDy2.

Lattice parameters (Å, degrees): 3.4533 3.4533 12.3246 81.95 81.95 60.00
Closest atoms and distances in Å follow each position.
Sites, in units of the cell vectors:
Dy  0.0884  0.0884  0.7349  1 Li 3.22, 6 Dy 3.45, 3 Gd 3.48
Dy  0.9116  0.9116  0.2651  1 Li 3.22, 6 Dy 3.45, 3 Gd 3.48
Li  0.0000  0.0000  0.0000  2 Dy 3.22, 6 Li 3.45
Gd  0.5000  0.5000  0.5000  6 Gd 3.45, 6 Dy 3.48

## Properties
ΔH_f (0 K) ... 0.193 eV per atom
Size of the total moment ... 7.33 Bohr magnetons per cell
Distance to the lowest polymorph of the same formula ... 0.1124 eV/atom
Energy ... -6.11 eV/atom

=====

A plane-wave DFT calculation with PBE was carried out for a relaxed structure of LiGdDy2.

Lattice parameters (Å, degrees): 5.4817 5.4817 5.4817 60.00 60.00 60.00
Closest atoms and distances in Å follow each position.
Sites, in units of the cell vectors:
Gd  0.0000  0.0000  0.0000  8 Dy 3.36
Dy  0.7500  0.7500  0.7500  4 Li 3.36, 4 Gd 3.36
Dy  0.2500  0.2500  0.2500  4 Li 3.36, 4 Gd 3.36
Li  0.5000  0.5000  0.5000  8 Dy 3.36

## Properties
ΔH_f (0 K) ... 0.190 eV per atom
Size of the total moment ... 7.17 Bohr magnetons per cell
Distance to the lowest polymorph of the same formula ... 0.1098 eV/atom
Energy ... -6.11 eV/atom

=====

A plane-wave DFT calculation with PBE was carried out for a relaxed structure of LiGdDy2.

Lattice parameters (Å, degrees): 3.7221 5.6043 5.6043 90.00 90.00 90.00
Closest atoms and distances in Å follow each position.
Sites, in units of the cell vectors:
Li  0.5000  0.0000  0.0000  8 Dy 3.36, 2 Li 3.72
Dy  0.0000  0.0000  0.5000  4 Gd 3.36, 4 Li 3.36, 2 Dy 3.72
Dy  0.0000  0.5000  0.0000  4 Gd 3.36, 4 Li 3.36, 2 Dy 3.72
Gd  0.5000  0.5000  0.5000  8 Dy 3.36, 2 Gd 3.72

## Properties
ΔH_f (0 K) ... 0.159 eV per atom
Size of the total moment ... 7.36 Bohr magnetons per cell
Distance to the lowest polymorph of the same formula ... 0.0789 eV/atom
Energy ... -6.14 eV/atom

=====

A plane-wave DFT calculation with PBE was carried out for a relaxed structure of LiGdDy2.

Lattice parameters (Å, degrees): 3.6060 3.6060 8.8269 90.00 90.00 90.00
Closest atoms and distances in Å follow each position.
Sites, in units of the cell vectors:
Li  0.5000  0.5000  0.0000  8 Dy 3.21
Gd  0.5000  0.5000  0.5000  8 Dy 3.54, 4 Gd 3.61
Dy  0.0000  0.0000  0.2214  4 Li 3.21, 4 Gd 3.54
Dy  0.0000  0.0000  0.7786  4 Li 3.21, 4 Gd 3.54

## Properties
ΔH_f (0 K) ... 0.080 eV per atom
Size of the total moment ... 7.29 Bohr magnetons per cell
Distance to the lowest polymorph of the same formula ... 0.0000 eV/atom
Energy ... -6.22 eV/atom

=====

A plane-wave DFT calculation with PBE was carried out for a relaxed structure of LiNdGdDy.

Lattice parameters (Å, degrees): 5.5467 5.5467 5.5467 60.00 60.00 60.00
Closest atoms and distances in Å follow each position.
Sites, in units of the cell vectors:
Dy  0.7500  0.7500  0.7500  4 Gd 3.40, 4 Li 3.40
Gd  0.5000  0.5000  0.5000  4 Dy 3.40, 4 Nd 3.40
Li  0.0000  0.0000  0.0000  4 Dy 3.40, 4 Nd 3.40
Nd  0.2500  0.2500  0.2500  4 Gd 3.40, 4 Li 3.40

## Properties
ΔH_f (0 K) ... 0.181 eV per atom
Size of the total moment ... 7.28 Bohr magnetons per cell
Energy ... -6.16 eV/atom

=====

A plane-wave DFT calculation with PBE was carried out for a relaxed structure of LiGdDyOs.

Lattice parameters (Å, degrees): 4.9163 4.9163 4.9163 60.00 60.00 60.00
Closest atoms and distances in Å follow each position.
Sites, in units of the cell vectors:
Dy  0.7500  0.7500  0.7500  4 Os 3.01, 4 Li 3.01
Li  0.0000  0.0000  0.0000  4 Gd 3.01, 4 Dy 3.01
Gd  0.2500  0.2500  0.2500  4 Li 3.01, 4 Os 3.01
Os  0.5000  0.5000  0.5000  4 Gd 3.01, 4 Dy 3.01

## Properties
ΔH_f (0 K) ... -0.210 eV per atom
Size of the total moment ... 7.17 Bohr magnetons per cell
Energy ... -8.17 eV/atom

=====

A plane-wave DFT calculation with PBE was carried out for a relaxed structure of LiGdDyPb.

Lattice parameters (Å, degrees): 5.3250 5.3250 5.3250 60.00 60.00 60.00
Closest atoms and distances in Å follow each position.
Sites, in units of the cell vectors:
Li  0.0000  0.0000  0.0000  4 Gd 3.26, 4 Dy 3.26
Dy  0.7500  0.7500  0.7500  4 Li 3.26, 4 Pb 3.26
Pb  0.5000  0.5000  0.5000  4 Dy 3.26, 4 Gd 3.26
Gd  0.2500  0.2500  0.2500  4 Pb 3.26, 4 Li 3.26

## Properties
ΔH_f (0 K) ... -0.281 eV per atom
Size of the total moment ... 8.03 Bohr magnetons per cell
Energy ... -6.36 eV/atom

=====

A plane-wave DFT calculation with PBE was carried out for a relaxed structure of LiPrGdDy.

Lattice parameters (Å, degrees): 5.5621 5.5621 5.5621 60.00 60.00 60.00
Closest atoms and distances in Å follow each position.
Sites, in units of the cell vectors:
Gd  0.5000  0.5000  0.5000  4 Pr 3.41, 4 Dy 3.41
Pr  0.7500  0.7500  0.7500  4 Gd 3.41, 4 Li 3.41
Li  0.0000  0.0000  0.0000  4 Dy 3.41, 4 Pr 3.41
Dy  0.2500  0.2500  0.2500  4 Gd 3.41, 4 Li 3.41

## Properties
ΔH_f (0 K) ... 0.179 eV per atom
Size of the total moment ... 7.33 Bohr magnetons per cell
Energy ... -6.17 eV/atom

=====

What is the size of the total moment in the twelfth record?
7.33 Bohr magnetons per cell